(1)
Co3Ir2: relaxed, PBE. Values from VASP.

Cell and atoms, written as Quantum ESPRESSO input:
```
&SYSTEM
  ibrav = 0, nat = 5, ntyp = 2
/
ATOMIC_SPECIES
Co 58.93 Co.upf
Ir 192.22 Ir.upf
CELL_PARAMETERS angstrom
1.3281 0.7668 10.4291
-1.3281 0.7668 10.4291
0.0000 -1.5335 10.4291
ATOMIC_POSITIONS crystal
Co 0.0000 0.0000 0.0000
Co 0.1973 0.1973 0.1973
Co 0.8027 0.8027 0.8027
Ir 0.4006 0.4006 0.4006
Ir 0.5994 0.5994 0.5994
```

The value obtained for the excess energy over the best structure of this formula in the dataset is 0.0465 eV per atom. Its energy of formation from the pure elements is 0.4 eV/f.u.

---

(2)
BeIr2Rh: relaxed, PBE. Values from VASP.

Cell and atoms, written as Quantum ESPRESSO input:
```
&SYSTEM
  ibrav = 0, nat = 4, ntyp = 3
/
ATOMIC_SPECIES
Be 9.01 Be.upf
Ir 192.22 Ir.upf
Rh 102.91 Rh.upf
CELL_PARAMETERS angstrom
4.3717 0.0000 0.0000
0.0000 4.3717 0.0000
0.0000 0.0000 2.8065
ATOMIC_POSITIONS crystal
Be 0.0000 0.0000 0.0000
Ir 0.0000 0.5000 0.5000
Ir 0.5000 0.0000 0.5000
Rh 0.5000 0.5000 0.0000
```

Its energy of formation from the pure elements is 0.3 eV/f.u.

---

(3)
KNi2Pt: relaxed, PBE. Values from VASP.

Cell and atoms, written as Quantum ESPRESSO input:
```
&SYSTEM
  ibrav = 0, nat = 4, ntyp = 3
/
ATOMIC_SPECIES
K 39.10 K.upf
Ni 58.69 Ni.upf
Pt 195.08 Pt.upf
CELL_PARAMETERS angstrom
0.0000 3.2137 3.2137
3.2137 0.0000 3.2137
3.2137 3.2137 0.0000
ATOMIC_POSITIONS crystal
K 0.0000 0.0000 0.0000
Ni 0.2500 0.2500 0.2500
Ni 0.5000 0.5000 0.5000
Pt 0.7500 0.7500 0.7500
```

The value obtained for the excess energy over the best structure of this formula in the dataset is 0.5602 eV per atom. Its energy of formation from the pure elements is 3.5 eV/f.u.

---

(4)
Nb2InH: relaxed, PBE. Values from VASP.

Cell and atoms, written as Quantum ESPRESSO input:
```
&SYSTEM
  ibrav = 0, nat = 4, ntyp = 3
/
ATOMIC_SPECIES
Nb 92.91 Nb.upf
In 114.82 In.upf
H 1.01 H.upf
CELL_PARAMETERS angstrom
1.6452 0.9499 6.8026
-1.6452 0.9499 6.8026
0.0000 -1.8998 6.8026
ATOMIC_POSITIONS crystal
Nb 0.2146 0.2146 0.2146
Nb 0.7854 0.7854 0.7854
In 0.0000 0.0000 0.0000
H 0.5000 0.5000 0.5000
```

The value obtained for the excess energy over the best structure of this formula in the dataset is 0.0300 eV per atom.

---

(5)
Tc2PBr: relaxed, PBE. Values from VASP.

Cell and atoms, written as Quantum ESPRESSO input:
```
&SYSTEM
  ibrav = 0, nat = 4, ntyp = 3
/
ATOMIC_SPECIES
Tc 98.00 Tc.upf
P 30.97 P.upf
Br 79.90 Br.upf
CELL_PARAMETERS angstrom
1.4870 0.8585 9.6357
-1.4870 0.8585 9.6357
0.0000 -1.7170 9.6357
ATOMIC_POSITIONS crystal
Tc 0.0000 0.0000 0.0000
Tc 0.2586 0.2586 0.2586
P 0.5326 0.5326 0.5326
Br 0.7350 0.7350 0.7350
```

The value obtained for the excess energy over the best structure of this formula in the dataset is 0.2765 eV per atom.

---

| no. | total moment (μB/f.u.) |
| --- | --- |
| 1 | 5.77 |
| 2 | 0.00 |
| 3 | 0.89 |
| 4 | 0.00 |
| 5 | 0.19 |